# 1
{"formula": "CePuPd2", "functional": "GGA-PBE", "state": "relaxed", "ef_ev_per_fu": -2.111, "e_tot_ev_per_atom": -8.191, "space_group": "No. 123", "cell": [[3.5705, 0.0000, 0.0000], [0.0000, 3.5705, 0.0000], [0.0000, 0.0000, 7.0033]], "species": ["Ce", "Pu", "Pd", "Pd"], "fractional_positions": [[0.0000, 0.0000, 0.0000], [0.0000, 0.0000, 0.5000], [0.5000, 0.5000, 0.2466], [0.5000, 0.5000, 0.7534]]}

=====

# 2
{"formula": "SrLaCd2", "functional": "GGA-PBE", "state": "relaxed", "ef_ev_per_fu": -1.320, "e_tot_ev_per_atom": -2.440, "space_group": "No. 6", "cell": [[3.9596, 0.0000, 0.0000], [0.0000, 5.6657, 0.0000], [-0.0003, 0.0000, 5.6622]], "species": ["Sr", "La", "Cd", "Cd"], "fractional_positions": [[0.0000, 0.0000, 0.0000], [0.0000, 0.5000, 0.5005], [0.4993, 0.5000, 0.0008], [0.5002, 0.0000, 0.5000]]}

=====

# 3
{"formula": "AsAuNF", "functional": "GGA-PBE", "state": "relaxed", "e_tot_ev_per_atom": -4.941, "relative_energy_mev_per_atom": 0, "space_group": "No. 1", "cell": [[2.9489, 0.0000, 0.0000], [1.4319, 5.2778, 0.0000], [1.4713, 1.7079, 5.1243]], "species": ["As", "Au", "N", "F"], "fractional_positions": [[0.0000, 0.0000, 0.0000], [0.7617, 0.0581, 0.4205], [0.5542, 0.1027, 0.7912], [0.1439, 0.6459, 0.0563]]}

=====

# 4
{"formula": "PmLuRu", "functional": "GGA-PBE", "state": "relaxed", "ef_ev_per_fu": -0.746, "e_tot_ev_per_atom": -6.431, "relative_energy_mev_per_atom": 63, "space_group": "No. 216", "cell": [[0.0000, 3.3897, 3.3897], [3.3897, 0.0000, 3.3897], [3.3897, 3.3897, 0.0000]], "species": ["Pm", "Lu", "Ru"], "fractional_positions": [[0.0000, 0.0000, 0.0000], [0.5000, 0.5000, 0.5000], [0.2500, 0.2500, 0.2500]]}